1.
Ba3NF | PBE | relaxed

Crystal system   monoclinic
Distance to the lowest polymorph of the same formula   0.00 eV per formula unit
Symmetry   P2_1/m, No. 11

Unit cell a=7.3045 b=7.5840 c=7.3630 alpha=90.00 beta=117.47 gamma=90.00
Fractional positions:
Ba  0.0149  0.2500  0.3812
Ba  0.4060  0.5029  0.2241
Ba  0.4060  0.9971  0.2241
Ba  0.5940  0.0029  0.7759
Ba  0.5940  0.4971  0.7759
Ba  0.9851  0.7500  0.6188
N  0.3973  0.2500  0.4802
N  0.6027  0.7500  0.5198
F  0.4014  0.7500  0.9123
F  0.5986  0.2500  0.0877



2.
BaN2F8 | PBE | relaxed

Crystal system   monoclinic
Symmetry   C2/m, No. 12

Unit cell a=7.5421 b=7.5421 c=7.6769 alpha=117.22 beta=117.22 gamma=34.43
Fractional positions:
Ba  0.0000  0.0000  0.0000
N  0.1858  0.1858  0.7393
N  0.8142  0.8142  0.2607
F  0.0591  0.5833  0.3806
F  0.0751  0.0751  0.7127
F  0.3914  0.3914  0.8659
F  0.4167  0.9409  0.6194
F  0.5833  0.0591  0.3806
F  0.6086  0.6086  0.1341
F  0.9249  0.9249  0.2873
F  0.9409  0.4167  0.6194



no.,ρ (Mg/m³),formation energy from raw total energies (eV/atom),DFT total energy (eV per atom)
1,4.08,-1.305,-4.50
2,2.43,-1.243,-4.29